## KCoNO (GGA+U)

Data for a relaxed KCoNO crystal.

## Properties
- ΔE to the lowest computed polymorph: 440.4 meV per atom
- Space-group type: P4/nmm (129)

Cell lengths 4.2122, 4.2122, 6.6851 Å; angles 90.00, 90.00, 90.00 degrees
Fractional positions:
Co  0.7500  0.7500  0.0545
Co  0.2500  0.2500  0.9456
K  0.7500  0.2500  0.5000
K  0.2500  0.7500  0.5000
N  0.7500  0.7500  0.2979
N  0.2500  0.2500  0.7020
O  0.7500  0.2500  0.0000
O  0.2500  0.7500  0.0000